A plane-wave DFT calculation with GGA-PBE was carried out for La2NdGa2Ag2 after structural relaxation.

Properties
theoretical density: 7.3 Mg/m³
total magnetic moment: 0.000 μB/f.u.
formation energy from the elements: -269 kJ/mol of formula units
symmetry: R-3m, No. 166
total DFT energy (no corrections): -0.153 Ha/atom

abc: 9.6091 9.6091 9.6091
angles: 28.28 28.28 28.28
With the nearest neighbours (Å) after each atom.
Fractional positions:
La: 0.1293 0.1293 0.1293  3 Ga 3.16, 3 Ag 3.25, 3 La 3.41
La: 0.8707 0.8707 0.8707  3 Ga 3.16, 3 Ag 3.25, 3 La 3.41
Nd: 0.0000 0.0000 0.0000  6 Ag 3.24, 6 Ga 3.34, 2 La 3.58
Ga: 0.2626 0.2626 0.2626  3 Ag 2.72
Ga: 0.7374 0.7374 0.7374  3 Ag 2.72
Ag: 0.3977 0.3977 0.3977  3 Ga 2.72
Ag: 0.6023 0.6023 0.6023  3 Ga 2.72

A plane-wave DFT calculation with GGA-PBE was carried out for Li2AuSe after structural relaxation.

Properties
theoretical density: 6.9 Mg/m³
total magnetic moment: 0.000 μB/f.u.
symmetry: Cm, No. 8
relative energy among the computed polymorphs: 0.0178 eV per atom
energy relative to the elements, uncorrected: -252 kJ/mol of formula units
total DFT energy (no corrections): -0.121 Ha/atom

abc: 5.3663 5.3663 4.7641
angles: 90.10 90.10 30.50
With the nearest neighbours (Å) after each atom.
Fractional positions:
Li: 0.0000 0.0000 0.0000  4 Au 2.76-2.78, 3 Se 2.76-2.80, 2 Li 2.82
Li: 0.2299 0.2299 0.5089  3 Au 2.72-2.83, 4 Se 2.76-2.77, 2 Li 2.82
Au: 0.4928 0.4928 0.5014  7 Li 2.72-2.83, 2 Au 2.82
Se: 0.7330 0.7330 0.0077  7 Li 2.76-2.80, 2 Se 2.82